Entry 1:
Here is a relaxed structure of CaCu4Ge2Pt from the Alexandria database. Energies are from PBE-GGA.

Its formation energy from the elements is -0.1049 eV per atom. The calculation puts the final energy at -103.50 eV for the cell shown. As for the crystal system: trigonal.

The space group is R-3m (No. 166, hexagonal axes) and the conventional cell measures 4.1061, 4.1061 and 27.5220 Å, with angles of 90.00, 90.00 and 120.00 degrees. The inequivalent atoms are Ca at (0.0000, 0.0000, 0.0000), Cu at (0.0000, 0.0000, 0.1242), Cu at (0.0000, 0.0000, 0.4072), Ge at (0.0000, 0.0000, 0.2476) and Pt at (0.0000, 0.0000, 0.5000).

---

Entry 2:
Here is a relaxed structure of TcP2Pt from the Alexandria database. Energies are from PBE-GGA.

Its formation energy from the elements is 0.4486 eV per atom. The calculation puts the distance to the lowest polymorph of the same formula at 0.844 eV per atom. The calculation puts the final energy at -101.73 eV for the cell shown. As for the crystal system: cubic.

The space group is F-43m (No. 216) and the conventional cell measures 6.174, 6.174 and 6.174 Å, with angles of 90.00, 90.00 and 90.00 degrees. The inequivalent atoms are Tc at (0.000, 0.000, 0.000), P at (0.000, 0.000, 0.500), P at (0.250, 0.250, 0.750) and Pt at (0.250, 0.250, 0.250).

---

Entry 3:
Here is a relaxed structure of Ac2NdGe3Pd12 from the Alexandria database. Energies are from PBE-GGA.

Its formation energy from the elements is -0.4725 eV per atom. The calculation puts the final energy at -292.97 eV for the cell shown. As for the crystal system: trigonal.

The space group is R-3m (No. 166, hexagonal axes) and the conventional cell measures 9.5324, 9.5324 and 13.3191 Å, with angles of 90.00, 90.00 and 120.00 degrees. The inequivalent atoms are Ac at (0.0000, 0.0000, 0.1475), Nd at (0.0000, 0.0000, 0.5000), Ge at (0.0000, 0.5000, 0.0000), Pd at (0.0015, 0.5007, 0.8135) and Pd at (0.0254, 0.5127, 0.3892).

---

Entry 4:
Here is a relaxed structure of Ho3Er5H12 from the Alexandria database. Energies are from PBE-GGA.

The calculation puts the final energy at -689.49 eV for the cell shown. As for the crystal system: cubic.

The space group is Ia-3d (No. 230) and the conventional cell measures 12.914, 12.914 and 12.914 Å, with angles of 90.00, 90.00 and 90.00 degrees. The inequivalent atoms are Ho at (0.000, 0.250, 0.125), Er at (0.000, 0.000, 0.000), Er at (0.000, 0.250, 0.375) and H at (0.002, 0.067, 0.656).

---

Entry 5:
Here is a relaxed structure of Pr8Ag2Ir3 from the Alexandria database. Energies are from PBE-GGA.

Its formation energy from the elements is -0.3169 eV per atom. The calculation puts the final energy at -74.64 eV for the cell shown. As for the crystal system: monoclinic.

The space group is P2/m (No. 10) and the conventional cell measures 9.080, 5.011 and 9.085 Å, with angles of 90.00, 111.27 and 90.00 degrees. The inequivalent atoms are Pr at (0.113, 0.000, 0.386), Pr at (0.141, 0.500, 0.870), Pr at (0.369, 0.500, 0.640), Pr at (0.386, 0.000, 0.115), Ag at (0.243, 0.500, 0.257), Ir at (0.242, 0.000, 0.742) and Ir at (0.500, 0.500, 0.000).

---

Entry 6:
Here is a relaxed structure of TcSeCl2 from the Alexandria database. Energies are from PBE-GGA.

The calculation puts the distance to the lowest polymorph of the same formula at 0.965 eV per atom. The calculation puts the final energy at -15.12 eV for the cell shown. As for the crystal system: orthorhombic.

The space group is Pmmm (No. 47) and the conventional cell measures 3.138, 4.420 and 5.980 Å, with angles of 90.00, 90.00 and 90.00 degrees. The inequivalent atoms are Tc at (0.000, 0.000, 0.000), Se at (0.500, 0.000, 0.500), Cl at (0.000, 0.500, 0.500) and Cl at (0.500, 0.500, 0.000).

---

Entry 7:
Here is a relaxed structure of NaTm2Pb from the Alexandria database. Energies are from PBE-GGA.

Its formation energy from the elements is -0.1202 eV per atom. The calculation puts the final energy at -14.45 eV for the cell shown. As for the crystal system: tetragonal.

The space group is P4/mmm (No. 123) and the conventional cell measures 4.926, 4.926 and 4.526 Å, with angles of 90.00, 90.00 and 90.00 degrees. The inequivalent atoms are Na at (0.000, 0.000, 0.000), Tm at (0.000, 0.500, 0.500) and Pb at (0.500, 0.500, 0.000).

---

Entry 8:
Here is a relaxed structure of Ti3Si3Mo2 from the Alexandria database. Energies are from PBE-GGA.

The calculation puts the final energy at -266.09 eV for the cell shown. As for the crystal system: orthorhombic.

The space group is Amm2 (No. 38) and the conventional cell measures 5.046, 12.679 and 7.439 Å, with angles of 90.00, 90.00 and 90.00 degrees. The inequivalent atoms are Ti at (0.000, 0.115, 0.000), Ti at (0.250, 0.166, 0.386), Si at (0.000, 0.000, 0.282), Si at (0.000, 0.199, 0.686), Si at (0.500, 0.000, 0.499), Si at (0.500, 0.194, 0.080), Mo at (0.000, 0.000, 0.633), Mo at (0.500, 0.000, 0.151) and Mo at (0.500, 0.130, 0.757).

---

Entry 9:
Here is a relaxed structure of GaOs3O from the Alexandria database. Energies are from PBE-GGA.

The calculation puts the distance to the lowest polymorph of the same formula at 0.000 eV per atom. The calculation puts the final energy at -37.20 eV for the cell shown. As for the crystal system: cubic.

The space group is Pm-3m (No. 221) and the conventional cell measures 4.089, 4.089 and 4.089 Å, with angles of 90.00, 90.00 and 90.00 degrees. The inequivalent atoms are Ga at (0.000, 0.000, 0.000), Os at (0.000, 0.500, 0.500) and O at (0.500, 0.500, 0.500).

---

Entry 10:
Here is a relaxed structure of La2GeIrPb from the Alexandria database. Energies are from PBE-GGA.

Its formation energy from the elements is -0.5821 eV per atom. The calculation puts the final energy at -29.95 eV for the cell shown. As for the crystal system: tetragonal.

The space group is P4/mmm (No. 123) and the conventional cell measures 5.637, 5.637 and 4.743 Å, with angles of 90.00, 90.00 and 90.00 degrees. The inequivalent atoms are La at (0.000, 0.500, 0.000), Ge at (0.000, 0.000, 0.500), Ir at (0.000, 0.000, 0.000) and Pb at (0.500, 0.500, 0.500).

---

Entry 11:
Here is a relaxed structure of CaNbAu from the Alexandria database. Energies are from PBE-GGA.

Its formation energy from the elements is -0.0683 eV per atom. The calculation puts the distance to the lowest polymorph of the same formula at 0.170 eV per atom. The calculation puts the final energy at -31.11 eV for the cell shown. As for the crystal system: monoclinic.

The space group is Pm (No. 6) and the conventional cell measures 5.130, 3.471 and 7.917 Å, with angles of 90.00, 108.67 and 90.00 degrees. The inequivalent atoms are Ca at (0.000, 0.000, 0.000), Ca at (0.338, 0.000, 0.673), Nb at (0.665, 0.000, 0.325), Nb at (0.791, 0.500, 0.578), Au at (0.178, 0.500, 0.348) and Au at (0.506, 0.500, 0.013).

---

Entry 12:
Here is a relaxed structure of TeRu2Pb from the Alexandria database. Energies are from PBE-GGA.

The calculation puts the distance to the lowest polymorph of the same formula at 0.085 eV per atom. The calculation puts the final energy at -47.61 eV for the cell shown. As for the crystal system: monoclinic.

The space group is Cm (No. 8) and the conventional cell measures 9.320, 3.261 and 5.380 Å, with angles of 90.00, 101.06 and 90.00 degrees. The inequivalent atoms are Te at (0.000, 0.000, 0.000), Ru at (0.227, 0.500, 0.068), Ru at (0.481, 0.000, 0.375) and Pb at (0.229, 0.000, 0.567).

---

Entry 13:
Here is a relaxed structure of Ca2MnMo from the Alexandria database. Energies are from PBE-GGA.

Its formation energy from the elements is 0.9142 eV per atom. The calculation puts the distance to the lowest polymorph of the same formula at 0.547 eV per atom. The calculation puts the final energy at -61.04 eV for the cell shown. As for the crystal system: trigonal.

The space group is R-3m (No. 166, hexagonal axes) and the conventional cell measures 3.1818, 3.1818 and 31.4638 Å, with angles of 90.00, 90.00 and 120.00 degrees. The inequivalent atoms are Ca at (0.0000, 0.0000, 0.2468), Mn at (0.0000, 0.0000, 0.0000) and Mo at (0.0000, 0.0000, 0.5000).

---

Entry 14:
Here is a relaxed structure of PuGeS from the Alexandria database. Energies are from PBE-GGA.

The calculation puts the final energy at -102.90 eV for the cell shown. As for the crystal system: orthorhombic.

The space group is Pnma (No. 62) and the conventional cell measures 7.107, 3.909 and 9.180 Å, with angles of 90.00, 90.00 and 90.00 degrees. The inequivalent atoms are Pu at (0.181, 0.250, 0.156), Ge at (0.102, 0.250, 0.485) and S at (0.102, 0.250, 0.832).